Record 1
# K3La2InO6

Crystalline K3La2InO6 at its relaxed geometry (PBE-GGA, the Alexandria database).

Results
Magnetization (μB per formula unit): 0.00
Energy relative to the elements, uncorrected (meV per atom): -2253

The structure in POSCAR format:
```
K3La2InO6
1.0
6.2380 -0.0038 0.0048
-3.1208 5.4013 0.0048
-1.0350 -1.7920 6.2956
K La In O
3 2 1 6
Cartesian
-2.1397 3.6398 3.1525
4.2220 -0.0343 3.1525
1.0411 1.8027 3.1525
-0.0046 3.6016 0.0048
3.1219 1.7959 0.0048
0.0000 0.0000 0.0000
3.0690 1.8981 5.0939
2.1322 3.6919 1.2051
-0.9867 1.7074 1.2112
0.1103 3.6068 5.0939
-0.0500 -0.0865 5.1000
1.9720 -0.0013 1.2112
```

Record 2
# BeIr3

Crystalline BeIr3 at its relaxed geometry (PBE-GGA, the Alexandria database).

Results
Magnetization (μB per formula unit): 0.00
ΔE_f (eV per atom): -0.0426

The structure in POSCAR format:
```
BeIr3
1.0
2.5237 -1.5257 7.5085
5.4716 2.3922 5.4234
-5.7205 1.3657 -5.5213
Be Ir
2 6
Cartesian
4.8923 0.5303 7.9130
3.1030 0.3363 5.0189
-0.1245 1.8790 -0.0490
-1.5984 -0.0800 0.9936
0.4004 0.1367 4.2266
1.8744 2.0956 3.1840
6.9781 0.7563 11.2866
1.0172 0.1102 1.6452
```

Record 3
# CsLaO2

Crystalline CsLaO2 at its relaxed geometry (PBE-GGA, the Alexandria database).

Results
Magnetization (μB per formula unit): 0.00
Energy relative to the elements, uncorrected (meV per atom): -2452

The structure in POSCAR format:
```
CsLaO2
1.0
-6.4068 2.8670 2.6193
0.6898 -1.5397 3.3725
7.0584 12.0614 4.0629
Cs O La
4 8 4
Cartesian
4.0194 7.3961 3.6087
-1.2484 1.5279 4.1153
-2.6780 5.9925 6.4460
2.5899 11.8607 5.9394
-0.6026 7.5942 4.6445
-4.7678 1.2326 4.7003
1.9441 5.7944 5.4102
6.1093 12.1560 5.3544
1.9974 9.2473 4.8674
1.6513 1.1767 3.3619
-0.6560 4.1414 5.1873
-0.3098 12.2120 6.6929
0.1071 5.6776 3.6243
6.5045 9.8093 6.3104
1.2343 7.7110 6.4304
-5.1631 3.5793 3.7443
```

Record 4
# LiTaTi2Pd

Crystalline LiTaTi2Pd at its relaxed geometry (PBE-GGA, the Alexandria database).

Results
Magnetization (μB per formula unit): 0.00
ΔE_f (eV per atom): 0.8514

The structure in POSCAR format:
```
LiTaTi2Pd
1.0
-4.3966 1.7451 0.9831
-0.8994 -3.8897 2.8826
1.7981 2.3942 3.7917
Ti Li Pd Ta
2 1 1 1
Cartesian
0.8991 1.1971 1.8958
-2.1983 0.8726 0.4915
-1.7489 0.1248 3.8287
-0.4497 -1.9448 1.4413
0.0000 0.0000 0.0000
```

Record 5
# Nd5PdSe4

Crystalline Nd5PdSe4 at its relaxed geometry (PBE-GGA, the Alexandria database).

Results
Magnetization (μB per formula unit): 0.00
Energy relative to the elements, uncorrected (meV per atom): -1603

The structure in POSCAR format:
```
Nd5PdSe4
1.0
4.1823 0.0000 -0.5894
-0.0831 4.1814 -0.5894
0.0298 0.0304 15.3439
Nd Pd Se
5 1 4
Cartesian
0.4187 0.4271 2.9710
2.0496 2.0907 -0.5894
3.7102 3.7847 11.1941
1.2466 1.2716 8.8456
2.8823 2.9402 5.3196
0.0000 0.0000 0.0000
1.6610 1.6943 11.7859
3.2989 3.3651 8.2751
0.8301 0.8467 5.8900
2.4680 2.5175 2.3792
```

Record 6
# CdSb2As

Crystalline CdSb2As at its relaxed geometry (PBE-GGA, the Alexandria database).

Results
Magnetization (μB per formula unit): 0.00
Energy relative to the lowest polymorph listed for this composition (eV/atom): 0.2167
Energy relative to the elements, uncorrected (meV per atom): 259

The structure in POSCAR format:
```
CdSb2As
1.0
-1.0018 -4.2814 2.8773
4.8532 -1.9504 -0.5059
-0.9156 4.8636 1.7665
Sb As Cd
2 1 1
Cartesian
0.0000 0.0000 0.0000
2.9316 -0.1014 1.2232
1.9257 -3.1159 1.1857
0.0041 -1.2669 2.9147
```

We obtain VASP energy values of -0.22255, -0.28003, -0.23434, -0.22411, -0.21684, -0.11734 hartree per atom for the records listed above, in that order.